Entry 1:
First-principles (PBE) data for a relaxed SbAuSe2 crystal, as listed in the Alexandria database.

Summary:
Space-group type ... No. 166
DOS at the Fermi energy ... 0.0 states/eV/cell
Volume ... 127.1 Å³/f.u.
Formation energy (no corrections) ... -0.094 eV per atom

Lattice parameters (Å, degrees): 8.1971 8.1971 8.1971 30.67 30.67 30.67
Last column: nearest neighbours and their distance in Å.
Fractional positions:
Au (0.0000, 0.0000, 0.0000)  2 Se 2.42
Se (0.1033, 0.1033, 0.1033)  1 Au 2.42
Se (0.8967, 0.8967, 0.8967)  1 Au 2.42
Sb (0.5000, 0.5000, 0.5000)  6 Se 2.91

Entry 2:
First-principles (PBE) data for a relaxed SbAu2Se crystal, as listed in the Alexandria database.

Summary:
Space-group type ... No. 65
DOS at the Fermi energy ... 1.1 states/eV/cell
Volume ... 87.8 Å³/f.u.
Formation energy (no corrections) ... 0.264 eV per atom

Lattice parameters (Å, degrees): 3.3212 3.3212 9.9877 90.00 90.00 127.16
Last column: nearest neighbours and their distance in Å.
Fractional positions:
Se (0.5000, 0.5000, 0.7500)  4 Au 2.81, 2 Se 2.96
Au (0.0000, 0.0000, 0.5109)  2 Se 2.81, 2 Au 2.96, 2 Sb 3.00
Au (0.0000, 0.0000, 0.9891)  2 Se 2.81, 2 Au 2.96, 2 Sb 3.00
Sb (0.5000, 0.5000, 0.2500)  2 Sb 2.96, 4 Au 3.00

Entry 3:
First-principles (PBE) data for a relaxed SbAu2Se crystal, as listed in the Alexandria database.

Summary:
Space-group type ... No. 44
DOS at the Fermi energy ... 1.7 states/eV/cell
Volume ... 90.5 Å³/f.u.
Formation energy (no corrections) ... 0.109 eV per atom

Lattice parameters (Å, degrees): 6.9092 6.9092 6.9092 148.90 147.81 45.37
Last column: nearest neighbours and their distance in Å.
Fractional positions:
Au (0.7194, 0.2194, 0.5000)  4 Se 2.74, 2 Au 2.90
Au (0.0487, 0.0487, 0.0000)  4 Sb 2.89, 2 Au 2.90
Sb (0.4616, 0.4616, 0.0000)  4 Au 2.89, 2 Se 3.06
Se (0.2703, 0.7703, 0.5000)  4 Au 2.74, 2 Sb 3.06